A plane-wave DFT calculation with PBE was carried out for crystalline AgBr3O at its relaxed geometry.

Properties
Its energy relative to the elements, uncorrected is 896 meV/atom. The symmetry is Pm-3m (221). The calculated density is 4.212 g cm⁻³. The energy above the most stable polymorph in this dataset comes out at 453 meV/atom.

Lattice parameters (Å, degrees): 5.2336 5.2336 5.2336 90.00 90.00 90.00
Last column: nearest neighbours and their distance in Å.
Atoms (fractional coordinates):
O 0.5000 0.5000 0.5000  12 Br 3.70
Br 0.0000 0.5000 0.0000  2 Ag 2.62
Br 0.0000 0.0000 0.5000  2 Ag 2.62
Br 0.5000 0.0000 0.0000  2 Ag 2.62
Ag 0.0000 0.0000 0.0000  6 Br 2.62